--- A ---
This record from the Alexandria database describes a relaxed Tl2AsF crystal. The functional is PBE-GGA.

Results
Calculated volume ... 87.3 Å³/f.u.
Magnetic moment ... 0.00 μB per formula unit
Space group ... No. 225

```
data_Tl2AsF
_cell_length_a 4.9792
_cell_length_b 4.9792
_cell_length_c 4.9792
_cell_angle_alpha 60.00
_cell_angle_beta 60.00
_cell_angle_gamma 60.00
_symmetry_space_group_name_H-M 'P 1'
_symmetry_Int_Tables_number 1
loop_
_symmetry_equiv_pos_as_xyz
'x,y,z'
loop_
_atom_site_label
_atom_site_type_symbol
_atom_site_fract_x
_atom_site_fract_y
_atom_site_fract_z
_atom_site_occupancy
Tl1 Tl 0.2500 0.2500 0.2500 1
Tl2 Tl 0.7500 0.7500 0.7500 1
As1 As 0.0000 0.0000 0.0000 1
F1 F 0.5000 0.5000 0.5000 1
```

---

--- B ---
This record from the Alexandria database describes a relaxed Tl2AsF crystal. The functional is PBE-GGA.

Results
Calculated volume ... 118.0 Å³/f.u.
Magnetic moment ... 0.00 μB per formula unit
Space group ... No. 122

```
data_Tl2AsF
_cell_length_a 8.2576
_cell_length_b 8.2576
_cell_length_c 8.2576
_cell_angle_alpha 139.42
_cell_angle_beta 139.42
_cell_angle_gamma 58.73
_symmetry_space_group_name_H-M 'P 1'
_symmetry_Int_Tables_number 1
loop_
_symmetry_equiv_pos_as_xyz
'x,y,z'
loop_
_atom_site_label
_atom_site_type_symbol
_atom_site_fract_x
_atom_site_fract_y
_atom_site_fract_z
_atom_site_occupancy
Tl1 Tl 0.0821 0.6250 0.9571 1
Tl2 Tl 0.3750 0.3321 0.4571 1
Tl3 Tl 0.6679 0.1250 0.0429 1
Tl4 Tl 0.8750 0.9179 0.5429 1
As1 As 0.2500 0.7500 0.5000 1
As2 As 0.5000 0.5000 0.0000 1
F1 F 0.0000 0.0000 0.0000 1
F2 F 0.7500 0.2500 0.5000 1
```

---

The least stable of them is B.

---

--- A ---
This record from the Alexandria database describes a relaxed TlAsF4 crystal. The functional is PBE-GGA.

Results
Calculated volume ... 121.0 Å³/f.u.
Magnetic moment ... 0.00 μB per formula unit
Space group ... No. 5

```
data_TlAsF4
_cell_length_a 4.6835
_cell_length_b 4.6835
_cell_length_c 6.6376
_cell_angle_alpha 107.04
_cell_angle_beta 107.04
_cell_angle_gamma 62.18
_symmetry_space_group_name_H-M 'P 1'
_symmetry_Int_Tables_number 1
loop_
_symmetry_equiv_pos_as_xyz
'x,y,z'
loop_
_atom_site_label
_atom_site_type_symbol
_atom_site_fract_x
_atom_site_fract_y
_atom_site_fract_z
_atom_site_occupancy
Tl1 Tl 0.0000 0.0000 0.0000 1
As1 As 0.4850 0.5150 0.5000 1
F1 F 0.0743 0.6197 0.5265 1
F2 F 0.3355 0.4315 0.1862 1
F3 F 0.3803 0.9257 0.4735 1
F4 F 0.5685 0.6645 0.8138 1
```

---

--- B ---
This record from the Alexandria database describes a relaxed TlAsF4 crystal. The functional is PBE-GGA.

Results
Calculated volume ... 110.6 Å³/f.u.
Magnetic moment ... 0.00 μB per formula unit
Space group ... No. 63

```
data_TlAsF4
_cell_length_a 8.1298
_cell_length_b 8.1298
_cell_length_c 6.6542
_cell_angle_alpha 90.00
_cell_angle_beta 90.00
_cell_angle_gamma 149.82
_symmetry_space_group_name_H-M 'P 1'
_symmetry_Int_Tables_number 1
loop_
_symmetry_equiv_pos_as_xyz
'x,y,z'
loop_
_atom_site_label
_atom_site_type_symbol
_atom_site_fract_x
_atom_site_fract_y
_atom_site_fract_z
_atom_site_occupancy
Tl1 Tl 0.1531 0.8469 0.7500 1
Tl2 Tl 0.8469 0.1531 0.2500 1
As1 As 0.4082 0.5918 0.7500 1
As2 As 0.5918 0.4082 0.2500 1
F1 F 0.0978 0.9022 0.2500 1
F2 F 0.3202 0.6798 0.5508 1
F3 F 0.3202 0.6798 0.9492 1
F4 F 0.5000 0.5000 0.0000 1
F5 F 0.5000 0.5000 0.5000 1
F6 F 0.6798 0.3202 0.0508 1
F7 F 0.6798 0.3202 0.4492 1
F8 F 0.9022 0.0978 0.7500 1
```

---

The least stable of them is B.

---

--- A ---
This record from the Alexandria database describes a relaxed Tl2AsF5 crystal. The functional is PBE-GGA.

Results
Calculated volume ... 182.7 Å³/f.u.
Magnetic moment ... 0.00 μB per formula unit
Space group ... No. 1

```
data_Tl2AsF5
_cell_length_a 5.2474
_cell_length_b 6.1860
_cell_length_c 6.7281
_cell_angle_alpha 64.46
_cell_angle_beta 73.03
_cell_angle_gamma 70.23
_symmetry_space_group_name_H-M 'P 1'
_symmetry_Int_Tables_number 1
loop_
_symmetry_equiv_pos_as_xyz
'x,y,z'
loop_
_atom_site_label
_atom_site_type_symbol
_atom_site_fract_x
_atom_site_fract_y
_atom_site_fract_z
_atom_site_occupancy
Tl1 Tl 0.0000 0.0000 0.0000 1
Tl2 Tl 0.4859 0.5977 0.5693 1
As1 As 0.2133 0.2990 0.2882 1
F1 F 0.0782 0.5872 0.3973 1
F2 F 0.1721 0.5451 0.9779 1
F3 F 0.3175 0.0606 0.5856 1
F4 F 0.4127 0.0277 0.1691 1
F5 F 0.5459 0.3606 0.2265 1
```

---

--- B ---
This record from the Alexandria database describes a relaxed Tl2AsF5 crystal. The functional is PBE-GGA.

Results
Calculated volume ... 165.9 Å³/f.u.
Magnetic moment ... 0.00 μB per formula unit
Space group ... No. 107

```
data_Tl2AsF5
_cell_length_a 6.0471
_cell_length_b 6.0471
_cell_length_c 6.0471
_cell_angle_alpha 115.05
_cell_angle_beta 115.05
_cell_angle_gamma 98.81
_symmetry_space_group_name_H-M 'P 1'
_symmetry_Int_Tables_number 1
loop_
_symmetry_equiv_pos_as_xyz
'x,y,z'
loop_
_atom_site_label
_atom_site_type_symbol
_atom_site_fract_x
_atom_site_fract_y
_atom_site_fract_z
_atom_site_occupancy
Tl1 Tl 0.0000 0.5000 0.5000 1
Tl2 Tl 0.5000 0.0000 0.5000 1
As1 As 0.2460 0.2460 0.0000 1
F1 F 0.0558 0.0558 0.5668 1
F2 F 0.0558 0.4890 0.0000 1
F3 F 0.4755 0.4755 0.0000 1
F4 F 0.4890 0.0558 0.0000 1
F5 F 0.4890 0.4890 0.4332 1
```

---

The least stable of them is B.

---

--- A ---
This record from the Alexandria database describes a relaxed TlAs2F crystal. The functional is PBE-GGA.

Results
Calculated volume ... 76.0 Å³/f.u.
Magnetic moment ... 0.00 μB per formula unit
Space group ... No. 225

```
data_TlAs2F
_cell_length_a 4.7544
_cell_length_b 4.7544
_cell_length_c 4.7544
_cell_angle_alpha 60.00
_cell_angle_beta 60.00
_cell_angle_gamma 60.00
_symmetry_space_group_name_H-M 'P 1'
_symmetry_Int_Tables_number 1
loop_
_symmetry_equiv_pos_as_xyz
'x,y,z'
loop_
_atom_site_label
_atom_site_type_symbol
_atom_site_fract_x
_atom_site_fract_y
_atom_site_fract_z
_atom_site_occupancy
Tl1 Tl 0.0000 0.0000 0.0000 1
As1 As 0.2500 0.2500 0.2500 1
As2 As 0.7500 0.7500 0.7500 1
F1 F 0.5000 0.5000 0.5000 1
```

---

--- B ---
This record from the Alexandria database describes a relaxed TlAs2F crystal. The functional is PBE-GGA.

Results
Calculated volume ... 95.0 Å³/f.u.
Magnetic moment ... 0.00 μB per formula unit
Space group ... No. 122

```
data_TlAs2F
_cell_length_a 13.3267
_cell_length_b 13.3267
_cell_length_c 13.3267
_cell_angle_alpha 163.54
_cell_angle_beta 163.54
_cell_angle_gamma 23.36
_symmetry_space_group_name_H-M 'P 1'
_symmetry_Int_Tables_number 1
loop_
_symmetry_equiv_pos_as_xyz
'x,y,z'
loop_
_atom_site_label
_atom_site_type_symbol
_atom_site_fract_x
_atom_site_fract_y
_atom_site_fract_z
_atom_site_occupancy
Tl1 Tl 0.0000 0.0000 0.0000 1
Tl2 Tl 0.7500 0.2500 0.5000 1
As1 As 0.1760 0.6250 0.0510 1
As2 As 0.3750 0.4260 0.5510 1
As3 As 0.5740 0.1250 0.9490 1
As4 As 0.8750 0.8240 0.4490 1
F1 F 0.2500 0.7500 0.5000 1
F2 F 0.5000 0.5000 0.0000 1
```

---

The least stable of them is A.

---

--- A ---
This record from the Alexandria database describes a relaxed TmAsF crystal. The functional is PBE-GGA.

Results
Calculated volume ... 55.2 Å³/f.u.
Magnetic moment ... 0.00 μB per formula unit
Space group ... No. 187

```
data_TmAsF
_cell_length_a 3.8315
_cell_length_b 3.8315
_cell_length_c 4.3457
_cell_angle_alpha 90.00
_cell_angle_beta 90.00
_cell_angle_gamma 120.00
_symmetry_space_group_name_H-M 'P 1'
_symmetry_Int_Tables_number 1
loop_
_symmetry_equiv_pos_as_xyz
'x,y,z'
loop_
_atom_site_label
_atom_site_type_symbol
_atom_site_fract_x
_atom_site_fract_y
_atom_site_fract_z
_atom_site_occupancy
Tm1 Tm 0.0000 0.0000 0.0000 1
As1 As 0.3333 0.6667 0.5000 1
F1 F 0.6667 0.3333 0.0000 1
```

---

--- B ---
This record from the Alexandria database describes a relaxed TmAsF crystal. The functional is PBE-GGA.

Results
Calculated volume ... 63.2 Å³/f.u.
Magnetic moment ... 0.00 μB per formula unit
Space group ... No. 12

```
data_TmAsF
_cell_length_a 5.0825
_cell_length_b 5.0825
_cell_length_c 6.6110
_cell_angle_alpha 95.28
_cell_angle_beta 95.28
_cell_angle_gamma 48.05
_symmetry_space_group_name_H-M 'P 1'
_symmetry_Int_Tables_number 1
loop_
_symmetry_equiv_pos_as_xyz
'x,y,z'
loop_
_atom_site_label
_atom_site_type_symbol
_atom_site_fract_x
_atom_site_fract_y
_atom_site_fract_z
_atom_site_occupancy
Tm1 Tm 0.2345 0.2345 0.2569 1
Tm2 Tm 0.7655 0.7655 0.7431 1
As1 As 0.0722 0.0722 0.8548 1
As2 As 0.9278 0.9278 0.1452 1
F1 F 0.3030 0.3030 0.5961 1
F2 F 0.6970 0.6970 0.4039 1
```

---

The least stable of them is A.